one:
Crystalline Ca2ReS at its relaxed geometry. Source: Alexandria, functional PBE-GGA.

The space group is I-42d (No. 122) and the conventional cell measures 10.220, 10.220 and 4.370 Å, with angles of 90.00, 90.00 and 90.00 degrees. The distinct sites, in fractional coordinates, are Ca at (0.087, 0.250, 0.125), Re at (0.000, 0.000, 0.500) and S at (0.000, 0.000, 0.000).



two:
Crystalline Ca2ReS at its relaxed geometry. Source: Alexandria, functional PBE-GGA.

The space group is Fm-3m (No. 225) and the conventional cell measures 7.175, 7.175 and 7.175 Å, with angles of 90.00, 90.00 and 90.00 degrees. The distinct sites, in fractional coordinates, are Ca at (0.250, 0.250, 0.250), Re at (0.000, 0.000, 0.000) and S at (0.000, 0.000, 0.500).



Referenced to the most stable arrangement, the calculated values in meV per atom are one 0; two 373.